Computed, not measured: crystalline Pr2ScBi2O2 at its relaxed geometry at the PBE-GGA level of DFT.

Summary:
Space-group type: I4/mmm (139)
E_form (uncorrected), eV per atom: -1.917
Total magnetic moment, μB/f.u.: 0.00

Lattice parameters (Å, degrees): 4.242 4.242 9.044 103.56 103.56 90.00
Sites, in units of the cell vectors:
Pr (0.394, 0.394, 0.789)
Pr (0.606, 0.606, 0.211)
Sc (0.000, 0.000, 0.000)
Bi (0.188, 0.188, 0.377)
Bi (0.812, 0.812, 0.623)
O (0.000, 0.500, 0.000)
O (0.500, 0.000, 0.000)